PBE Pr2As2Pt, relaxed; V = 120.7 Å³/f.u.; formation energy = -1177 meV/atom; raw total energy = -6.157 eV/atom
1.0
4.3032 0.0000 0.0000
2.1516 5.6476 0.0801
2.1516 1.0265 9.9440
Pt Pr As
2 4 4
direct
0.4238 0.8366 0.3158
0.5762 0.1634 0.6842
0.3052 0.7435 0.6460
0.6948 0.2565 0.3540
0.0858 0.7251 0.1032
0.9142 0.2749 0.8968
0.3397 0.1911 0.1295
0.6603 0.8089 0.8705
0.9447 0.6958 0.4148
0.0553 0.3042 0.5852